Record 1
! Sm3Y12Cd, relaxed, DFT GGA-PBE; values from VASP
! Space-group type: P4/mmm
&SYSTEM
  ibrav = 0, nat = 16, ntyp = 3
/
ATOMIC_SPECIES
Sm 150.36 Sm.upf
Y 88.91 Y.upf
Cd 112.41 Cd.upf
ATOMIC_POSITIONS crystal
Sm 0.0000 0.0000 0.2477
Sm 0.0000 0.0000 0.5000
Sm 0.0000 0.0000 0.7523
Y 0.5000 0.5000 0.0000
Y 0.5000 0.5000 0.2432
Y 0.5000 0.5000 0.5000
Y 0.5000 0.5000 0.7568
Y 0.5000 0.0000 0.1200
Y 0.5000 0.0000 0.3729
Y 0.5000 0.0000 0.6271
Y 0.5000 0.0000 0.8800
Y 0.0000 0.5000 0.1200
Y 0.0000 0.5000 0.3729
Y 0.0000 0.5000 0.6271
Y 0.0000 0.5000 0.8800
Cd 0.0000 0.0000 0.0000
CELL_PARAMETERS angstrom
5.0120 0.0000 0.0000
0.0000 5.0120 0.0000
0.0000 0.0000 20.2827

=====

Record 2
! Sm2Y3Cd3, relaxed, DFT GGA-PBE; values from VASP
! Space-group type: Immm
&SYSTEM
  ibrav = 0, nat = 8, ntyp = 3
/
ATOMIC_SPECIES
Sm 150.36 Sm.upf
Y 88.91 Y.upf
Cd 112.41 Cd.upf
ATOMIC_POSITIONS crystal
Sm 0.2677 0.7677 0.5354
Sm 0.7323 0.2323 0.4646
Y 0.3790 0.3790 0.7579
Y 0.6210 0.6210 0.2421
Y 0.5000 0.0000 0.0000
Cd 0.8852 0.8852 0.7705
Cd 0.0000 0.5000 0.0000
Cd 0.1148 0.1148 0.2295
CELL_PARAMETERS angstrom
-0.1157 3.6190 1.0498
-3.9095 0.9037 -3.5464
-5.6544 -4.7724 9.0604

=====

Record 3
! Sm6Y12Cd, relaxed, DFT GGA-PBE; values from VASP
! Space-group type: R-3m
! Energy above the most stable polymorph in this dataset: 29 meV/atom
&SYSTEM
  ibrav = 0, nat = 19, ntyp = 3
/
ATOMIC_SPECIES
Sm 150.36 Sm.upf
Y 88.91 Y.upf
Cd 112.41 Cd.upf
ATOMIC_POSITIONS crystal
Sm 0.1348 0.1354 0.4073
Sm 0.8646 0.5927 0.8652
Sm 0.5927 0.8652 0.8646
Sm 0.8652 0.8646 0.5927
Sm 0.1354 0.4073 0.1348
Sm 0.4073 0.1348 0.1354
Y 0.5869 0.1682 0.5868
Y 0.1682 0.5868 0.5869
Y 0.5868 0.5869 0.1682
Y 0.4131 0.8318 0.4132
Y 0.8318 0.4132 0.4131
Y 0.4132 0.4131 0.8318
Y 0.2602 0.0004 0.7398
Y 0.2602 0.7398 0.9996
Y 0.9996 0.2602 0.7398
Y 0.7398 0.9996 0.2602
Y 0.7398 0.2602 0.0004
Y 0.0004 0.7398 0.2602
Cd 0.0000 0.0000 0.0000
CELL_PARAMETERS angstrom
-8.1830 0.0841 -2.8920
3.8877 -0.3012 -7.7541
0.4397 -8.4868 1.7641

=====

Record 4
! SmY5Cd4, relaxed, DFT GGA-PBE; values from VASP
! Space-group type: P4/mmm
&SYSTEM
  ibrav = 0, nat = 10, ntyp = 3
/
ATOMIC_SPECIES
Sm 150.36 Sm.upf
Y 88.91 Y.upf
Cd 112.41 Cd.upf
ATOMIC_POSITIONS crystal
Sm 0.0000 0.0000 0.0000
Y 0.5000 0.5000 0.1231
Y 0.5000 0.5000 0.3123
Y 0.5000 0.5000 0.5000
Y 0.5000 0.5000 0.6877
Y 0.5000 0.5000 0.8769
Cd 0.0000 0.0000 0.2176
Cd 0.0000 0.0000 0.4053
Cd 0.0000 0.0000 0.5947
Cd 0.0000 0.0000 0.7824
CELL_PARAMETERS angstrom
-1.9821 3.1264 -0.3080
-2.3824 -1.2585 2.5571
11.1336 8.4922 14.5525

=====

no.,VASP energy (eV/cell),M_tot (μB/f.u.)
1,-92.7,0.0
2,-33.6,0.0
3,-104.5,0.0
4,-43.4,0.0